A geometry-optimized HfNbHg2I structure, computed with PBE.

abc: 5.6042 5.6042 5.0542
angles: 90.00 90.00 90.00
Closest atoms and distances in Å follow each position.
Fractional coordinates of all 5 atoms:
Hf 0.0000 0.0000 0.0000  2 Nb 2.53, 4 Hg 2.80
Nb 0.0000 0.0000 0.5000  2 Hf 2.53
Hg 0.0000 0.5000 0.0000  2 Hf 2.80
Hg 0.5000 0.0000 0.0000  2 Hf 2.80
I 0.5000 0.5000 0.5000  8 Hg 3.77, 4 Nb 3.96

Computed properties:
The value obtained for the polymorph energy (0 for the lowest one) is 0.00 eV/f.u.



A geometry-optimized HfNbHg2I structure, computed with PBE.

abc: 5.4927 5.4927 5.0560
angles: 90.00 90.00 90.00
Closest atoms and distances in Å follow each position.
Fractional coordinates of all 5 atoms:
Hf 0.0000 0.0000 0.0000  8 Hg 3.73, 4 Nb 3.88
Nb 0.5000 0.5000 0.0000  2 I 2.53
Hg 0.0000 0.5000 0.5000  2 I 2.75
Hg 0.5000 0.0000 0.5000  2 I 2.75
I 0.5000 0.5000 0.5000  2 Nb 2.53, 4 Hg 2.75

Computed properties:
The value obtained for the polymorph energy (0 for the lowest one) is 3.93 eV/f.u.



| no. | density of states at the Fermi level (states/eV per cell) | ΔE_f (raw) (meV/atom) |
| --- | --- | --- |
| 1 | 4.141 | 886 |
| 2 | 4.370 | 1671 |